Entry 1:
Material: DyEr2Tl3AgPt2
Method: DFT, PBE-GGA
State: optimized geometry

Output
Space-group type = Amm2
Electronic total energy = -4.63 eV per atom
Crystal system = orthorhombic

Cell and atoms, written as POSCAR:
```
DyEr2Tl3AgPt2
1.0
-2.898 1.776 1.561
2.766 -1.814 7.198
2.225 6.733 -3.530
Tl Pt Er Dy Ag
3 2 2 1 1
Direct
0.500 0.271 0.271
0.500 0.000 0.729
0.500 0.729 0.000
0.500 0.667 0.332
0.500 0.332 0.667
0.000 0.410 0.000
0.000 0.000 0.410
0.000 0.590 0.590
0.000 0.000 0.000
```

Entry 2:
Material: DyErSi2Ag2
Method: DFT, PBE-GGA
State: optimized geometry

Output
Space-group type = P3m1
Electronic total energy = -4.82 eV per atom
Crystal system = trigonal

Cell and atoms, written as POSCAR:
```
DyErSi2Ag2
1.0
4.396 0.000 0.000
-2.198 3.807 0.000
0.000 0.000 7.253
Ag Si Er Dy
2 2 1 1
Direct
0.333 0.667 0.777
0.667 0.333 0.285
0.333 0.667 0.212
0.667 0.333 0.707
0.000 0.000 0.500
0.000 0.000 0.001
```

Entry 3:
Material: DyEr2Si4Ag4
Method: DFT, PBE-GGA
State: optimized geometry

Output
Space-group type = Immm
Electronic total energy = -4.74 eV per atom
Crystal system = orthorhombic

Cell and atoms, written as POSCAR:
```
DyEr2Si4Ag4
1.0
-2.117 3.490 7.056
2.117 -3.490 7.056
2.117 3.490 -7.056
Ag Si Er Dy
4 4 2 1
Direct
0.470 0.669 0.801
0.868 0.669 0.199
0.530 0.331 0.199
0.132 0.331 0.801
0.176 0.500 0.676
0.283 0.783 0.500
0.717 0.217 0.500
0.824 0.500 0.324
0.875 0.875 0.000
0.125 0.125 0.000
0.500 0.000 0.500
```

Entry 4:
Material: Dy2ErAg4Sn4
Method: DFT, PBE-GGA
State: optimized geometry

Output
Space-group type = Immm
Electronic total energy = -4.21 eV per atom
Crystal system = orthorhombic

Cell and atoms, written as POSCAR:
```
Dy2ErAg4Sn4
1.0
-2.284 3.657 7.622
2.284 -3.657 7.622
2.284 3.657 -7.622
Dy Ag Sn Er
2 4 4 1
Direct
0.627 0.127 0.500
0.373 0.873 0.500
0.028 0.328 0.700
0.972 0.672 0.300
0.372 0.672 0.700
0.628 0.328 0.300
0.213 0.213 0.000
0.787 0.787 0.000
0.698 0.500 0.198
0.302 0.500 0.802
0.000 0.000 0.000
```

Entry 5:
Material: Dy4Ga12Ag
Method: DFT, PBE-GGA
State: optimized geometry

Output
Space-group type = Im-3m
Electronic total energy = -3.90 eV per atom
Crystal system = cubic

Cell and atoms, written as POSCAR:
```
Dy4Ga12Ag
1.0
-4.339 4.339 4.339
4.339 -4.339 4.339
4.339 4.339 -4.339
Ga Dy Ag
12 4 1
Direct
0.500 0.250 0.750
0.750 0.250 0.500
0.750 0.500 0.250
0.304 0.304 0.000
0.250 0.500 0.750
0.500 0.750 0.250
0.696 0.696 0.000
0.304 0.000 0.304
0.000 0.696 0.696
0.000 0.304 0.304
0.250 0.750 0.500
0.696 0.000 0.696
0.500 0.000 0.000
0.000 0.500 0.000
0.000 0.000 0.500
0.500 0.500 0.500
0.000 0.000 0.000
```

Entry 6:
Material: DyGaAg
Method: DFT, PBE-GGA
State: optimized geometry

Output
Space-group type = F-43m
Electronic total energy = -3.75 eV per atom
Crystal system = cubic

Cell and atoms, written as POSCAR:
```
DyGaAg
1.0
0.000 3.292 3.292
3.292 0.000 3.292
3.292 3.292 0.000
Ga Dy Ag
1 1 1
Direct
0.750 0.750 0.750
0.250 0.250 0.250
0.000 0.000 0.000
```

Entry 7:
Material: DyGaAg
Method: DFT, PBE-GGA
State: optimized geometry

Output
Space-group type = F-43m
Electronic total energy = -3.40 eV per atom
Crystal system = cubic

Cell and atoms, written as POSCAR:
```
DyGaAg
1.0
-0.725 -4.298 2.017
-4.389 -1.951 -0.016
-0.918 -3.823 -2.758
Ag Dy Ga
1 1 1
Direct
0.500 0.500 0.500
0.250 0.250 0.250
0.000 0.000 0.000
```

Entry 8:
Material: Gd2DyGa3AgPt2
Method: DFT, PBE-GGA
State: optimized geometry

Output
Space-group type = Amm2
Electronic total energy = -5.10 eV per atom
Crystal system = orthorhombic

Cell and atoms, written as POSCAR:
```
Gd2DyGa3AgPt2
1.0
3.832 0.000 0.000
0.000 6.458 3.737
0.000 -6.458 3.737
Gd Ga Pt Ag Dy
2 3 2 1 1
Direct
0.000 0.409 0.000
0.000 0.000 0.409
0.500 0.999 0.732
0.500 0.268 0.268
0.500 0.732 0.999
0.500 0.335 0.666
0.500 0.666 0.335
0.000 0.999 0.999
0.000 0.591 0.591
```

Entry 9:
Material: DyHoGa2Ag2
Method: DFT, PBE-GGA
State: optimized geometry

Output
Space-group type = P-6m2
Electronic total energy = -3.99 eV per atom
Crystal system = hexagonal

Cell and atoms, written as POSCAR:
```
DyHoGa2Ag2
1.0
-1.373 -4.365 0.352
3.910 1.007 -2.182
3.518 -0.622 6.017
Ga Dy Ho Ag
2 1 1 2
Direct
0.333 0.667 0.716
0.333 0.667 0.284
0.000 0.000 0.000
0.000 0.000 0.500
0.667 0.333 0.761
0.667 0.333 0.239
```

Entry 10:
Material: DyTm2Ga3AgIr2
Method: DFT, PBE-GGA
State: optimized geometry

Output
Space-group type = Amm2
Electronic total energy = -5.52 eV per atom
Crystal system = orthorhombic

Cell and atoms, written as POSCAR:
```
DyTm2Ga3AgIr2
1.0
-1.710 0.633 3.362
-4.606 -5.523 -1.304
6.335 -1.189 3.446
Ir Dy Ga Tm Ag
2 1 3 2 1
Direct
0.500 0.333 0.670
0.500 0.670 0.333
0.000 0.409 0.409
0.500 0.272 0.000
0.500 0.000 0.272
0.500 0.728 0.728
0.000 0.591 0.000
0.000 0.000 0.591
0.000 0.997 0.997
```

Entry 11:
Material: Dy2TmGa3AgIr2
Method: DFT, PBE-GGA
State: optimized geometry

Output
Space-group type = Amm2
Electronic total energy = -5.53 eV per atom
Crystal system = orthorhombic

Cell and atoms, written as POSCAR:
```
Dy2TmGa3AgIr2
1.0
-1.975 -2.980 1.454
6.137 -3.876 0.392
-2.016 4.097 5.657
Tm Dy Ga Ir Ag
1 2 3 2 1
Direct
0.000 0.410 0.410
0.000 0.590 0.000
0.000 0.000 0.590
0.500 0.729 0.729
0.500 0.271 0.000
0.500 0.000 0.271
0.500 0.334 0.664
0.500 0.664 0.334
0.000 0.003 0.003
```

Entry 12:
Material: DyY2Ga3AgIr2
Method: DFT, PBE-GGA
State: optimized geometry

Output
Space-group type = Amm2
Electronic total energy = -5.95 eV per atom
Crystal system = orthorhombic

Cell and atoms, written as POSCAR:
```
DyY2Ga3AgIr2
1.0
3.865 0.000 0.000
0.000 6.330 3.673
0.000 -6.330 3.673
Ga Ir Y Dy Ag
3 2 2 1 1
Direct
0.500 0.271 0.271
0.500 0.728 0.000
0.500 0.000 0.728
0.500 0.336 0.666
0.500 0.666 0.336
0.000 0.000 0.410
0.000 0.410 0.000
0.000 0.589 0.589
0.000 0.999 0.999
```

Entry 13:
Material: Dy3Mg3GaAg2
Method: DFT, PBE-GGA
State: optimized geometry

Output
Space-group type = P-62m
Electronic total energy = -3.33 eV per atom
Crystal system = hexagonal

Cell and atoms, written as POSCAR:
```
Dy3Mg3GaAg2
1.0
-0.426 -6.088 -4.338
4.059 5.893 -2.207
3.472 -1.651 1.976
Ag Mg Dy Ga
2 3 3 1
Direct
0.667 0.333 0.500
0.333 0.667 0.500
0.759 0.759 0.500
0.000 0.241 0.500
0.241 0.000 0.500
0.000 0.588 0.000
0.588 0.000 0.000
0.412 0.412 0.000
0.000 0.000 0.000
```

Entry 14:
Material: Dy3Mg3Ga2Ag
Method: DFT, PBE-GGA
State: optimized geometry

Output
Space-group type = P-62m
Electronic total energy = -3.49 eV per atom
Crystal system = hexagonal

Cell and atoms, written as POSCAR:
```
Dy3Mg3Ga2Ag
1.0
-6.431 -3.367 1.303
5.100 -3.286 -4.194
1.705 -1.882 3.547
Ag Dy Ga Mg
1 3 2 3
Direct
0.000 0.000 0.000
0.000 0.576 0.000
0.576 0.000 0.000
0.424 0.424 0.000
0.667 0.333 0.500
0.333 0.667 0.500
0.755 0.755 0.500
0.000 0.245 0.500
0.245 0.000 0.500
```

Entry 15:
Material: Dy2TmGa3AgPd2
Method: DFT, PBE-GGA
State: optimized geometry

Output
Space-group type = Amm2
Electronic total energy = -4.74 eV per atom
Crystal system = orthorhombic

Cell and atoms, written as POSCAR:
```
Dy2TmGa3AgPd2
1.0
3.688 0.000 0.000
0.000 6.514 3.770
0.000 -6.514 3.770
Tm Dy Ag Pd Ga
1 2 1 2 3
Direct
0.000 0.407 0.407
0.000 0.000 0.593
0.000 0.593 0.000
0.000 0.002 0.002
0.500 0.664 0.334
0.500 0.334 0.664
0.500 0.271 0.001
0.500 0.728 0.728
0.500 0.001 0.271
```

Entry 16:
Material: Tb2DyGa3AgPt2
Method: DFT, PBE-GGA
State: optimized geometry

Output
Space-group type = Amm2
Electronic total energy = -5.10 eV per atom
Crystal system = orthorhombic

Cell and atoms, written as POSCAR:
```
Tb2DyGa3AgPt2
1.0
-3.344 1.422 -0.928
-3.307 -4.490 5.039
2.344 6.844 2.040
Dy Tb Ag Ga Pt
1 2 1 3 2
Direct
0.000 0.408 0.408
0.000 0.592 0.000
0.000 0.000 0.592
0.000 0.000 0.000
0.500 0.270 0.000
0.500 0.000 0.270
0.500 0.729 0.729
0.500 0.334 0.666
0.500 0.666 0.334
```

Entry 17:
Material: DyTm2Ga3AgPt2
Method: DFT, PBE-GGA
State: optimized geometry

Output
Space-group type = Amm2
Electronic total energy = -5.07 eV per atom
Crystal system = orthorhombic

Cell and atoms, written as POSCAR:
```
DyTm2Ga3AgPt2
1.0
3.681 0.000 0.000
0.000 6.494 3.740
0.000 -6.494 3.740
Tm Pt Ga Dy Ag
2 2 3 1 1
Direct
0.000 0.000 0.592
0.000 0.592 0.000
0.500 0.332 0.669
0.500 0.669 0.332
0.500 0.999 0.271
0.500 0.729 0.729
0.500 0.271 0.999
0.000 0.408 0.408
0.000 0.999 0.999
```

Entry 18:
Material: Dy2YGa3AgPt2
Method: DFT, PBE-GGA
State: optimized geometry

Output
Space-group type = Amm2
Electronic total energy = -5.30 eV per atom
Crystal system = orthorhombic

Cell and atoms, written as POSCAR:
```
Dy2YGa3AgPt2
1.0
3.729 0.000 0.000
0.000 6.510 3.758
0.000 -6.510 3.758
Dy Ga Pt Y Ag
2 3 2 1 1
Direct
0.000 0.592 0.000
0.000 0.000 0.592
0.500 0.271 0.000
0.500 0.729 0.729
0.500 0.000 0.271
0.500 0.668 0.333
0.500 0.333 0.668
0.000 0.408 0.408
0.000 0.999 0.999
```

Entry 19:
Material: SmDyGa2Ag2
Method: DFT, PBE-GGA
State: optimized geometry

Output
Space-group type = P-6m2
Energy relative to the lowest polymorph listed for this composition = 0.004 eV per atom
Electronic total energy = -4.00 eV per atom
Crystal system = hexagonal

Cell and atoms, written as POSCAR:
```
SmDyGa2Ag2
1.0
-0.174 2.375 -3.978
-1.023 -4.522 0.047
-6.769 1.544 1.218
Dy Ga Sm Ag
1 2 1 2
Direct
0.667 0.333 0.000
0.333 0.667 0.275
0.333 0.667 0.725
0.667 0.333 0.500
0.000 0.000 0.769
0.000 0.000 0.231
```

Entry 20:
Material: SmDyGa2Ag2
Method: DFT, PBE-GGA
State: optimized geometry

Output
Space-group type = P-6m2
Energy relative to the lowest polymorph listed for this composition = 0.000 eV per atom
Electronic total energy = -4.01 eV per atom
Crystal system = hexagonal

Cell and atoms, written as POSCAR:
```
SmDyGa2Ag2
1.0
4.609 0.000 0.000
-2.305 3.992 0.000
0.000 0.000 7.128
Ga Dy Sm Ag
2 1 1 2
Direct
0.000 0.000 0.717
0.000 0.000 0.283
0.333 0.667 0.500
0.333 0.667 0.000
0.667 0.333 0.242
0.667 0.333 0.758
```